Compound: LaCrFeO6
Source: the Alexandria database
Functional: PBE+U
Structure: optimized geometry

a = 4.8746 Å, b = 5.1524 Å, c = 11.0255 Å
α = 90.00°, β = 115.77°, γ = 90.00°
Closest atoms and distances in Å follow each position.
Fractional coordinates of all 18 atoms:
La (0.0000, 0.2505, 0.0000)  4 O 2.31-2.52
La (0.0000, 0.7495, 0.5000)  4 O 2.31-2.52
Cr (0.8108, 0.2194, 0.2598)  4 O 1.67-1.81
Cr (0.8108, 0.7806, 0.7598)  4 O 1.67-1.81
Fe (0.2882, 0.2767, 0.7599)  4 O 1.83-1.97
Fe (0.2882, 0.7233, 0.2599)  4 O 1.83-1.97
O (0.0188, 0.0113, 0.1808)  1 Fe 1.92, 1 Cr 1.92
O (0.0188, 0.9887, 0.6808)  1 Fe 1.92, 1 Cr 1.92
O (0.0219, 0.2576, 0.4248)  1 Cr 1.67
O (0.0219, 0.7424, 0.9248)  1 Cr 1.67
O (0.4239, 0.2728, 0.9428)  1 Fe 1.83
O (0.4239, 0.7272, 0.4428)  1 Fe 1.83
O (0.4752, 0.3828, 0.2174)  1 Cr 1.71
O (0.4752, 0.6172, 0.7174)  1 Cr 1.71
O (0.6485, 0.0925, 0.7669)  1 Cr 1.81, 1 Fe 1.97
O (0.6485, 0.9075, 0.2669)  1 Cr 1.81, 1 Fe 1.97
O (0.9460, 0.4770, 0.1907)  1 Cr 1.79, 1 Fe 1.97
O (0.9460, 0.5230, 0.6907)  1 Cr 1.79, 1 Fe 1.97

## Properties
- Theoretical density: 4.6 g/cm³
- Symmetry: Pc
- Electronic total energy: -0.260 hartree per atom